[1]
Material: MgCuOs2Rh
Method: DFT, GGA-PBE
State: optimized geometry

Results
space group	P4/mmm

The structure in POSCAR format:
```
MgCuOs2Rh
1.0
4.674 0.000 0.000
0.000 4.674 0.000
0.000 0.000 4.651
Mg Cu Os Rh
1 1 2 1
direct
0.000 0.000 0.000 Mg
0.500 0.500 0.000 Cu
0.000 0.500 0.500 Os
0.500 0.000 0.500 Os
0.500 0.500 0.500 Rh
```


[2]
Material: Mg2CuSnOs
Method: DFT, GGA-PBE
State: optimized geometry

Results
space group	P4/mmm
ΔE to the lowest computed polymorph	0.7885	eV per atom

The structure in POSCAR format:
```
Mg2CuSnOs
1.0
5.240 0.000 0.000
0.000 5.240 0.000
0.000 0.000 4.702
Mg Cu Sn Os
2 1 1 1
direct
0.000 0.500 0.000 Mg
0.500 0.000 0.000 Mg
0.000 0.000 0.500 Cu
0.000 0.000 0.000 Sn
0.500 0.500 0.500 Os
```


[3]
Material: Mg2CuSnOs
Method: DFT, GGA-PBE
State: optimized geometry

Results
space group	P4/mmm
ΔE to the lowest computed polymorph	0.0000	eV per atom

The structure in POSCAR format:
```
Mg2CuSnOs
1.0
4.635 0.000 0.000
0.000 4.635 0.000
0.000 0.000 4.666
Mg Cu Sn Os
2 1 1 1
direct
0.000 0.500 0.000 Mg
0.500 0.000 0.000 Mg
0.000 0.000 0.000 Cu
0.500 0.500 0.500 Sn
0.000 0.000 0.500 Os
```


[4]
Material: ThMgCuOs
Method: DFT, GGA-PBE
State: optimized geometry

Results
space group	F-43m

The structure in POSCAR format:
```
ThMgCuOs
1.0
0.000 3.393 3.393
3.393 0.000 3.393
3.393 3.393 0.000
Th Mg Cu Os
1 1 1 1
direct
0.000 0.000 0.000 Th
0.500 0.500 0.500 Mg
0.250 0.250 0.250 Cu
0.750 0.750 0.750 Os
```


[5]
Material: MgV2CuOs
Method: DFT, GGA-PBE
State: optimized geometry

Results
space group	P4/mmm

The structure in POSCAR format:
```
MgV2CuOs
1.0
4.370 0.000 0.000
0.000 4.370 0.000
0.000 0.000 4.589
Mg V Cu Os
1 2 1 1
direct
0.000 0.000 0.000 Mg
0.000 0.500 0.500 V
0.500 0.000 0.500 V
0.500 0.500 0.500 Cu
0.500 0.500 0.000 Os
```


[6]
Material: MgZrCuOs
Method: DFT, GGA-PBE
State: optimized geometry

Results
space group	F-43m

The structure in POSCAR format:
```
MgZrCuOs
1.0
0.000 3.218 3.218
3.218 0.000 3.218
3.218 3.218 0.000
Mg Zr Cu Os
1 1 1 1
direct
0.000 0.000 0.000 Mg
0.500 0.500 0.500 Zr
0.250 0.250 0.250 Cu
0.750 0.750 0.750 Os
```


[7]
Material: Mg2CuP2
Method: DFT, GGA-PBE
State: optimized geometry

Results
space group	I4/mmm
ΔE to the lowest computed polymorph	0.2037	eV per atom

The structure in POSCAR format:
```
Mg2CuP2
1.0
-1.670 1.670 7.745
1.670 -1.670 7.745
1.670 1.670 -7.745
Mg Cu P
2 1 2
direct
0.100 0.100 0.000 Mg
0.900 0.900 0.000 Mg
0.500 0.500 0.000 Cu
0.250 0.750 0.500 P
0.750 0.250 0.500 P
```


[8]
Material: MgCuP2
Method: DFT, GGA-PBE
State: optimized geometry

Results
space group	P2/m

The structure in POSCAR format:
```
MgCuP2
1.0
3.960 0.000 0.000
0.000 3.526 0.000
-1.292 0.000 4.971
Mg Cu P
1 1 2
direct
0.000 0.000 0.000 Mg
0.500 0.000 0.500 Cu
0.226 0.500 0.674 P
0.774 0.500 0.326 P
```


[9]
Material: MgCuP4
Method: DFT, GGA-PBE
State: optimized geometry

Results
space group	F-43m
ΔE to the lowest computed polymorph	0.3068	eV per atom

The structure in POSCAR format:
```
MgCuP4
1.0
0.000 3.588 3.588
3.588 0.000 3.588
3.588 3.588 0.000
Mg Cu P
1 1 4
direct
0.000 0.000 0.000 Mg
0.250 0.250 0.250 Cu
0.129 0.624 0.624 P
0.624 0.129 0.624 P
0.624 0.624 0.129 P
0.624 0.624 0.624 P
```


[10]
Material: MgCuP2
Method: DFT, GGA-PBE
State: optimized geometry

Results
space group	F-43m

The structure in POSCAR format:
```
MgCuP2
1.0
0.000 3.121 3.121
3.121 0.000 3.121
3.121 3.121 0.000
Mg Cu P
1 1 2
direct
0.000 0.000 0.000 Mg
0.750 0.750 0.750 Cu
0.250 0.250 0.250 P
0.500 0.500 0.500 P
```


[11]
Material: Mg3Cu4P4
Method: DFT, GGA-PBE
State: optimized geometry

Results
space group	Immm

The structure in POSCAR format:
```
Mg3Cu4P4
1.0
-1.918 3.359 6.352
1.918 -3.359 6.352
1.918 3.359 -6.352
Mg Cu P
3 4 4
direct
0.000 0.000 0.000 Mg
0.379 0.879 0.500 Mg
0.621 0.121 0.500 Mg
0.029 0.324 0.705 Cu
0.381 0.676 0.705 Cu
0.619 0.324 0.295 Cu
0.971 0.676 0.295 Cu
0.217 0.217 0.000 P
0.304 0.500 0.804 P
0.696 0.500 0.196 P
0.783 0.783 0.000 P
```


[12]
Material: MgCuP2
Method: DFT, GGA-PBE
State: optimized geometry

Results
space group	P4mm

The structure in POSCAR format:
```
MgCuP2
1.0
2.790 0.000 0.000
0.000 2.790 0.000
0.000 0.000 8.199
Mg Cu P
1 1 2
direct
0.000 0.000 0.000 Mg
0.500 0.500 0.752 Cu
0.000 0.000 0.569 P
0.500 0.500 0.229 P
```


[13]
Material: MgCuP2
Method: DFT, GGA-PBE
State: optimized geometry

Results
space group	P4/mmm

The structure in POSCAR format:
```
MgCuP2
1.0
3.468 0.000 0.000
0.000 3.468 0.000
0.000 0.000 5.216
Mg Cu P
1 1 2
direct
0.000 0.000 0.000 Mg
0.000 0.000 0.500 Cu
0.500 0.500 0.292 P
0.500 0.500 0.708 P
```


[14]
Material: MgCuP2
Method: DFT, GGA-PBE
State: optimized geometry

Results
space group	I4/mmm

The structure in POSCAR format:
```
MgCuP2
1.0
-2.045 2.045 3.651
2.045 -2.045 3.651
2.045 2.045 -3.651
Mg Cu P
1 1 2
direct
0.000 0.000 0.000 Mg
0.500 0.500 0.000 Cu
0.250 0.750 0.500 P
0.750 0.250 0.500 P
```


[15]
Material: MgCuP2
Method: DFT, GGA-PBE
State: optimized geometry

Results
space group	Cmmm

The structure in POSCAR format:
```
MgCuP2
1.0
1.892 -2.373 0.000
1.892 2.373 0.000
0.000 0.000 6.922
Mg Cu P
1 1 2
direct
0.000 0.000 0.000 Mg
0.000 0.000 0.500 Cu
0.500 0.500 0.272 P
0.500 0.500 0.728 P
```


[16]
Material: MgCuP2
Method: DFT, GGA-PBE
State: optimized geometry

Results
space group	Pmm2

The structure in POSCAR format:
```
MgCuP2
1.0
2.927 0.000 0.000
0.000 4.113 0.000
0.000 0.000 5.275
Mg Cu P
1 1 2
direct
0.000 0.000 0.000 Mg
0.500 0.500 0.546 Cu
0.000 0.000 0.510 P
0.500 0.500 0.073 P
```


[17]
Material: MgCu4P3
Method: DFT, GGA-PBE
State: optimized geometry

Results
space group	P4/mmm

The structure in POSCAR format:
```
MgCu4P3
1.0
3.916 0.000 0.000
0.000 3.916 0.000
0.000 0.000 7.541
Mg Cu P
1 4 3
direct
0.000 0.000 0.000 Mg
0.000 0.500 0.311 Cu
0.000 0.500 0.689 Cu
0.500 0.000 0.311 Cu
0.500 0.000 0.689 Cu
0.000 0.000 0.500 P
0.500 0.500 0.147 P
0.500 0.500 0.853 P
```


[18]
Material: Mg3CuP
Method: DFT, GGA-PBE
State: optimized geometry

Results
space group	Pm-3m
ΔE to the lowest computed polymorph	0.0000	eV per atom

The structure in POSCAR format:
```
Mg3CuP
1.0
4.850 0.000 0.000
0.000 4.850 0.000
0.000 0.000 4.850
Mg Cu P
3 1 1
direct
0.000 0.000 0.500 Mg
0.000 0.500 0.000 Mg
0.500 0.000 0.000 Mg
0.500 0.500 0.500 Cu
0.000 0.000 0.000 P
```


[19]
Material: MgCuP2
Method: DFT, GGA-PBE
State: optimized geometry

Results
space group	Immm

The structure in POSCAR format:
```
MgCuP2
1.0
-2.250 2.648 2.698
2.250 -2.648 2.698
2.250 2.648 -2.698
Mg Cu P
1 1 2
direct
0.000 0.000 0.000 Mg
0.500 0.500 0.000 Cu
0.298 0.798 0.500 P
0.702 0.202 0.500 P
```


[20]
Material: Mg3CuP
Method: DFT, GGA-PBE
State: optimized geometry

Results
space group	Pm-3m
ΔE to the lowest computed polymorph	0.1574	eV per atom

The structure in POSCAR format:
```
Mg3CuP
1.0
4.780 0.000 0.000
0.000 4.780 0.000
0.000 0.000 4.780
Mg Cu P
3 1 1
direct
0.000 0.000 0.500 Mg
0.000 0.500 0.000 Mg
0.500 0.000 0.000 Mg
0.000 0.000 0.000 Cu
0.500 0.500 0.500 P
```


[21]
Material: MgCuP2
Method: DFT, GGA-PBE
State: optimized geometry

Results
space group	P4/mmm

The structure in POSCAR format:
```
MgCuP2
1.0
4.113 0.000 0.000
0.000 4.113 0.000
0.000 0.000 3.563
Mg Cu P
1 1 2
direct
0.000 0.000 0.000 Mg
0.500 0.500 0.000 Cu
0.000 0.500 0.500 P
0.500 0.000 0.500 P
```


[22]
Material: MgCuP2
Method: DFT, GGA-PBE
State: optimized geometry

Results
space group	C2/m

The structure in POSCAR format:
```
MgCuP2
1.0
2.663 -3.334 0.000
2.663 3.334 0.000
-0.166 0.000 3.427
Mg Cu P
1 1 2
direct
0.000 0.000 0.000 Mg
0.500 0.500 0.000 Cu
0.000 0.500 0.500 P
0.500 0.000 0.500 P
```


[23]
Material: MgCuP4
Method: DFT, GGA-PBE
State: optimized geometry

Results
space group	P-62m
ΔE to the lowest computed polymorph	0.0000	eV per atom

The structure in POSCAR format:
```
MgCuP4
1.0
9.809 0.000 0.000
-4.904 8.495 0.000
0.000 0.000 3.498
Mg Cu P
3 3 12
direct
0.000 0.600 0.000 Mg
0.400 0.400 0.000 Mg
0.600 0.000 0.000 Mg
0.000 0.000 0.000 Cu
0.333 0.667 0.000 Cu
0.667 0.333 0.000 Cu
0.000 0.346 0.000 P
0.000 0.818 0.500 P
0.182 0.182 0.500 P
0.202 0.425 0.500 P
0.223 0.798 0.500 P
0.346 0.000 0.000 P
0.425 0.202 0.500 P
0.575 0.777 0.500 P
0.654 0.654 0.000 P
0.777 0.575 0.500 P
0.798 0.223 0.500 P
0.818 0.000 0.500 P
```


[24]
Material: MgCu3P
Method: DFT, GGA-PBE
State: optimized geometry

Results
space group	Pm-3m
ΔE to the lowest computed polymorph	1.0296	eV per atom

The structure in POSCAR format:
```
MgCu3P
1.0
4.496 0.000 0.000
0.000 4.496 0.000
0.000 0.000 4.496
Mg Cu P
1 3 1
direct
0.000 0.000 0.000 Mg
0.000 0.000 0.500 Cu
0.000 0.500 0.000 Cu
0.500 0.000 0.000 Cu
0.500 0.500 0.500 P
```


[25]
Material: MgCuP2
Method: DFT, GGA-PBE
State: optimized geometry

Results
space group	P4/mmm

The structure in POSCAR format:
```
MgCuP2
1.0
2.943 0.000 0.000
0.000 2.943 0.000
0.000 0.000 7.036
Mg Cu P
1 1 2
direct
0.000 0.000 0.000 Mg
0.000 0.000 0.500 Cu
0.500 0.500 0.267 P
0.500 0.500 0.733 P
```


[26]
Material: Mg2CuP2
Method: DFT, GGA-PBE
State: optimized geometry

Results
space group	P4/mbm
ΔE to the lowest computed polymorph	0.2645	eV per atom

The structure in POSCAR format:
```
Mg2CuP2
1.0
7.615 0.000 0.000
0.000 7.615 0.000
0.000 0.000 2.958
Mg Cu P
4 2 4
direct
0.139 0.361 0.000 Mg
0.361 0.861 0.000 Mg
0.639 0.139 0.000 Mg
0.861 0.639 0.000 Mg
0.000 0.000 0.000 Cu
0.500 0.500 0.000 Cu
0.164 0.664 0.500 P
0.336 0.164 0.500 P
0.664 0.836 0.500 P
0.836 0.336 0.500 P
```


[27]
Material: MgCu3P
Method: DFT, GGA-PBE
State: optimized geometry

Results
space group	Pm-3m
ΔE to the lowest computed polymorph	0.0000	eV per atom

The structure in POSCAR format:
```
MgCu3P
1.0
4.368 0.000 0.000
0.000 4.368 0.000
0.000 0.000 4.368
Mg Cu P
1 3 1
direct
0.000 0.000 0.000 Mg
0.000 0.500 0.500 Cu
0.500 0.000 0.500 Cu
0.500 0.500 0.000 Cu
0.500 0.500 0.500 P
```


[28]
Material: Mg2CuP2
Method: DFT, GGA-PBE
State: optimized geometry

Results
space group	P4/mbm
ΔE to the lowest computed polymorph	0.0000	eV per atom

The structure in POSCAR format:
```
Mg2CuP2
1.0
6.305 0.000 0.000
0.000 6.305 0.000
0.000 0.000 4.078
Mg Cu P
4 2 4
direct
0.185 0.315 0.000 Mg
0.315 0.815 0.000 Mg
0.685 0.185 0.000 Mg
0.815 0.685 0.000 Mg
0.000 0.000 0.500 Cu
0.500 0.500 0.500 Cu
0.127 0.627 0.500 P
0.373 0.127 0.500 P
0.627 0.873 0.500 P
0.873 0.373 0.500 P
```


no.,raw total energy (eV per atom)
1,-5.522
2,-3.087
3,-3.875
4,-6.113
5,-5.802
6,-6.496
7,-3.631
8,-4.221
9,-4.165
10,-3.819
11,-4.185
12,-3.889
13,-4.110
14,-3.987
15,-3.983
16,-4.082
17,-4.424
18,-2.715
19,-4.122
20,-2.557
21,-4.033
22,-4.050
23,-4.472
24,-2.663
25,-3.973
26,-3.571
27,-3.692
28,-3.835